Entry 1:
The following is a DFT calculation (GGA-PBE) of a relaxed Dy3HoZn4 crystal.

Properties
- SG = P4/mmm, No. 123
- E_form (eV/f.u.) = -2.7

a = 5.0240 Å, b = 5.0240 Å, c = 7.1746 Å
α = 90.00°, β = 90.00°, γ = 90.00°
Last column: nearest neighbours and their distance in Å.
Positions (direct):
1 Dy 0.0000 0.0000 0.0000  8 Zn 3.09
2 Dy 0.0000 0.0000 0.5000  8 Zn 3.08
3 Dy 0.5000 0.5000 0.0000  8 Zn 3.09
4 Ho 0.5000 0.5000 0.5000  8 Zn 3.08
5 Zn 0.0000 0.5000 0.2512  6 Dy 3.08-3.09, 2 Ho 3.08
6 Zn 0.0000 0.5000 0.7488  6 Dy 3.08-3.09, 2 Ho 3.08
7 Zn 0.5000 0.0000 0.2512  6 Dy 3.08-3.09, 2 Ho 3.08
8 Zn 0.5000 0.0000 0.7488  6 Dy 3.08-3.09, 2 Ho 3.08


Entry 2:
The following is a DFT calculation (GGA-PBE) of a relaxed EuLu2Co crystal.

Properties
- SG = P4/mmm, No. 123
- E_form (eV/f.u.) = -0.4

a = 3.3455 Å, b = 3.3455 Å, c = 9.1477 Å
α = 90.00°, β = 90.00°, γ = 90.00°
Last column: nearest neighbours and their distance in Å.
Positions (direct):
1 Eu 0.0000 0.0000 0.0000  4 Eu 3.35
2 Lu 0.5000 0.5000 0.3294  4 Co 2.83, 1 Lu 3.12
3 Lu 0.5000 0.5000 0.6706  4 Co 2.83, 1 Lu 3.12
4 Co 0.0000 0.0000 0.5000  8 Lu 2.83


Entry 3:
The following is a DFT calculation (GGA-PBE) of a relaxed Mg2Sn crystal.

Properties
- SG = Fd-3m, No. 227
- E_form (eV/f.u.) = 0.0

a = 5.8904 Å, b = 5.8904 Å, c = 5.8904 Å
α = 60.00°, β = 60.00°, γ = 60.00°
Last column: nearest neighbours and their distance in Å.
Positions (direct):
1 Mg 0.0000 0.0000 0.0000  6 Mg 2.95
2 Mg 0.0000 0.0000 0.5000  6 Mg 2.95
3 Mg 0.0000 0.5000 0.0000  6 Mg 2.95
4 Mg 0.5000 0.0000 0.0000  6 Mg 2.95
5 Sn 0.3750 0.3750 0.3750  12 Mg 3.45, 4 Sn 3.61
6 Sn 0.6250 0.6250 0.6250  12 Mg 3.45, 4 Sn 3.61


Entry 4:
The following is a DFT calculation (GGA-PBE) of a relaxed MnSiPdRu crystal.

Properties
- E_form (uncorrected) (eV per atom) = -0.341
- SG = F-43m, No. 216

a = 4.2591 Å, b = 4.2591 Å, c = 4.2591 Å
α = 60.00°, β = 60.00°, γ = 60.00°
Last column: nearest neighbours and their distance in Å.
Positions (direct):
1 Mn 0.0000 0.0000 0.0000  4 Ru 2.61, 4 Pd 2.61
2 Si 0.5000 0.5000 0.5000  4 Ru 2.61, 4 Pd 2.61
3 Pd 0.2500 0.2500 0.2500  4 Si 2.61, 4 Mn 2.61
4 Ru 0.7500 0.7500 0.7500  4 Si 2.61, 4 Mn 2.61